Entry A
First-principles (GGA-PBE) data for a relaxed structure of CaSb3Pt, as listed in Alexandria.

a = 5.3481 Å, b = 5.3481 Å, c = 5.3481 Å
α = 90.00°, β = 90.00°, γ = 90.00°
Fractional coordinates of all 5 atoms:
Sb1 0.0000 0.0000 0.5000
Sb2 0.5000 0.0000 0.0000
Sb3 0.0000 0.5000 0.0000
Pt1 0.0000 0.0000 0.0000
Ca1 0.5000 0.5000 0.5000

Values from the calculation:
The density of states at the Fermi level comes out at 5.39 states/eV per cell. The symmetry is Pm-3m.

***

Entry B
First-principles (GGA-PBE) data for a relaxed structure of CaSb3Pt, as listed in Alexandria.

a = 5.5662 Å, b = 5.5662 Å, c = 5.5662 Å
α = 90.00°, β = 90.00°, γ = 90.00°
Fractional coordinates of all 5 atoms:
Sb1 0.5000 0.0000 0.0000
Sb2 0.0000 0.0000 0.5000
Sb3 0.0000 0.5000 0.0000
Pt1 0.5000 0.5000 0.5000
Ca1 0.0000 0.0000 0.0000

Values from the calculation:
The density of states at the Fermi level comes out at 5.65 states/eV per cell. The symmetry is Pm-3m.

***

So which one is most stable? That would be entry A, about 114.9 kJ/mol of atoms below the next structure.

***

Entry A
First-principles (GGA-PBE) data for a relaxed structure of CaSc2Pt, as listed in Alexandria.

a = 4.9668 Å, b = 4.9668 Å, c = 4.9668 Å
α = 60.00°, β = 60.00°, γ = 60.00°
Each line ends with the local moment (μB).
Fractional coordinates of all 4 atoms:
Ca1 0.5000 0.5000 0.5000  0.01
Pt1 0.7500 0.7500 0.7500  -0.01
Sc1 0.2500 0.2500 0.2500  0.20
Sc2 0.0000 0.0000 0.0000  0.10

Values from the calculation:
The density of states at the Fermi level comes out at 3.66 states/eV per cell. The symmetry is F-43m.

***

Entry B
First-principles (GGA-PBE) data for a relaxed structure of CaSc2Pt, as listed in Alexandria.

a = 3.4586 Å, b = 3.4618 Å, c = 8.7714 Å
α = 66.76°, β = 90.00°, γ = 90.00°
Each line ends with the local moment (μB).
Fractional coordinates of all 4 atoms:
Sc1 0.0000 0.0504 0.9494  0.20
Sc2 0.5000 0.2897 0.2103  0.46
Pt1 0.5000 0.7096 0.7904  0.01
Ca1 0.0000 0.4503 0.5499  0.00

Values from the calculation:
The density of states at the Fermi level comes out at 3.02 states/eV per cell. The symmetry is P4mm.

***

So which one is most stable? That would be entry B, about 23.0 kJ/mol of atoms below the next structure.

***

Entry A
First-principles (GGA-PBE) data for a relaxed structure of CaSc2Pt, as listed in Alexandria.

a = 11.0433 Å, b = 11.0433 Å, c = 11.0433 Å
α = 16.81°, β = 16.81°, γ = 16.81°
Fractional coordinates of all 4 atoms:
Sc1 0.9234 0.9234 0.9234
Sc2 0.0766 0.0766 0.0766
Pt1 0.0000 0.0000 0.0000
Ca1 0.5000 0.5000 0.5000

Values from the calculation:
The density of states at the Fermi level comes out at 5.19 states/eV per cell. The symmetry is R-3m.

***

Entry B
First-principles (GGA-PBE) data for a relaxed structure of CaSc2Pt, as listed in Alexandria.

a = 5.7766 Å, b = 5.7766 Å, c = 5.7766 Å
α = 137.34°, β = 137.34°, γ = 61.91°
Fractional coordinates of all 4 atoms:
Pt1 0.7500 0.2500 0.5000
Sc1 0.2500 0.7500 0.5000
Sc2 0.0000 0.0000 0.0000
Ca1 0.5000 0.5000 0.0000

Values from the calculation:
The density of states at the Fermi level comes out at 5.90 states/eV per cell. The symmetry is I-4m2.

***

So which one is most stable? That would be entry B, about 45.2 kJ/mol of atoms below the next structure.

***

Entry A
First-principles (GGA-PBE) data for a relaxed structure of CaSc2Pt, as listed in Alexandria.

a = 8.9431 Å, b = 8.9431 Å, c = 8.9431 Å
α = 25.36°, β = 25.36°, γ = 25.36°
Fractional coordinates of all 4 atoms:
Pt1 0.7500 0.7500 0.7500
Ca1 0.2500 0.2500 0.2500
Sc1 0.0310 0.0310 0.0310
Sc2 0.4690 0.4690 0.4690

Values from the calculation:
The density of states at the Fermi level comes out at 4.13 states/eV per cell. The symmetry is R-3m.

***

Entry B
First-principles (GGA-PBE) data for a relaxed structure of CaSc2Pt, as listed in Alexandria.

a = 4.9167 Å, b = 4.9167 Å, c = 4.9167 Å
α = 60.00°, β = 60.00°, γ = 60.00°
Fractional coordinates of all 4 atoms:
Sc1 0.7500 0.7500 0.7500
Sc2 0.2500 0.2500 0.2500
Ca1 0.0000 0.0000 0.0000
Pt1 0.5000 0.5000 0.5000

Values from the calculation:
The density of states at the Fermi level comes out at 6.47 states/eV per cell. The symmetry is Fm-3m.

***

So which one is most stable? That would be entry A, about 5.9 kJ/mol of atoms below the next structure.

***

Entry A
First-principles (GGA-PBE) data for a relaxed structure of CaSc2Pt, as listed in Alexandria.

a = 3.9552 Å, b = 4.6826 Å, c = 4.7272 Å
α = 90.00°, β = 90.00°, γ = 90.00°
Fractional coordinates of all 4 atoms:
Sc1 0.0000 0.0000 0.0000
Sc2 0.5000 0.5000 0.0000
Pt1 0.0000 0.5000 0.5000
Ca1 0.5000 0.0000 0.5000

Values from the calculation:
The density of states at the Fermi level comes out at 3.96 states/eV per cell. The symmetry is Pmmm.

***

Entry B
First-principles (GGA-PBE) data for a relaxed structure of CaSc2Pt, as listed in Alexandria.

a = 6.1476 Å, b = 6.1476 Å, c = 5.2245 Å
α = 64.86°, β = 64.86°, γ = 32.68°
Fractional coordinates of all 4 atoms:
Pt1 0.2500 0.2500 0.2500
Sc1 0.9476 0.9476 0.0523
Sc2 0.5524 0.5524 0.4477
Ca1 0.7500 0.7500 0.7500

Values from the calculation:
The density of states at the Fermi level comes out at 4.92 states/eV per cell. The symmetry is Immm.

***

So which one is most stable? That would be entry B, about 19.2 kJ/mol of atoms below the next structure.

***

Entry A
First-principles (GGA-PBE) data for a relaxed structure of CaSc2Pt, as listed in Alexandria.

a = 9.5720 Å, b = 9.5720 Å, c = 9.5720 Å
α = 21.67°, β = 21.67°, γ = 21.67°
Each line ends with the local moment (μB).
Fractional coordinates of all 4 atoms:
Sc1 0.0180 0.0180 0.0180  0.13
Sc2 0.2580 0.2580 0.2580  0.41
Ca1 0.4818 0.4818 0.4818  0.01
Pt1 0.7422 0.7422 0.7422  0.02

Values from the calculation:
The density of states at the Fermi level comes out at 4.52 states/eV per cell. The symmetry is R3m.

***

Entry B
First-principles (GGA-PBE) data for a relaxed structure of CaSc2Pt, as listed in Alexandria.

a = 5.5133 Å, b = 5.9396 Å, c = 3.1461 Å
α = 77.88°, β = 83.20°, γ = 115.64°
Fractional coordinates of all 4 atoms:
Pt1 0.5000 0.5000 0.0000
Sc1 0.5000 0.0000 0.5000
Sc2 0.0000 0.0000 0.0000
Ca1 0.0000 0.5000 0.5000

Values from the calculation:
The density of states at the Fermi level comes out at 4.92 states/eV per cell. The symmetry is C2/m.

***

So which one is most stable? That would be entry A, about 13.6 kJ/mol of atoms below the next structure.

***

Entry A
First-principles (GGA-PBE) data for a relaxed structure of CaSc2Pt, as listed in Alexandria.

a = 8.2606 Å, b = 8.2606 Å, c = 6.5973 Å
α = 51.24°, β = 51.24°, γ = 90.00°
Fractional coordinates of all 8 atoms:
Sc1 0.0463 0.6250 0.2500
Sc2 0.7037 0.1250 0.2500
Sc3 0.3750 0.2963 0.7500
Sc4 0.8750 0.9537 0.7500
Ca1 0.2500 0.7500 0.5000
Ca2 0.5000 0.5000 0.0000
Pt1 0.7500 0.2500 0.5000
Pt2 0.0000 0.0000 0.0000

Values from the calculation:
The density of states at the Fermi level comes out at 12.84 states/eV per cell. The symmetry is I-42d.

***

Entry B
First-principles (GGA-PBE) data for a relaxed structure of CaSc2Pt, as listed in Alexandria.

a = 5.7957 Å, b = 5.7957 Å, c = 5.7957 Å
α = 137.01°, β = 137.01°, γ = 62.42°
Each line ends with the local moment (μB).
Fractional coordinates of all 4 atoms:
Sc1 0.5000 0.5000 0.0000  0.49
Sc2 0.0000 0.0000 0.0000  0.49
Pt1 0.7500 0.2500 0.5000  0.04
Ca1 0.2500 0.7500 0.5000  0.08

Values from the calculation:
The density of states at the Fermi level comes out at 4.56 states/eV per cell. The symmetry is I4/mmm.

***

Entry C
First-principles (GGA-PBE) data for a relaxed structure of CaSc2Pt, as listed in Alexandria.

a = 3.3536 Å, b = 3.3533 Å, c = 8.9126 Å
α = 90.00°, β = 90.00°, γ = 90.00°
Fractional coordinates of all 4 atoms:
Ca1 0.5000 0.5000 0.2500
Sc1 0.0000 0.0000 0.9249
Sc2 0.0000 0.0000 0.5751
Pt1 0.5000 0.5000 0.7500

Values from the calculation:
The density of states at the Fermi level comes out at 5.47 states/eV per cell. The symmetry is P4/mmm.

***

So which one is most stable? That would be entry C, about 11.5 kJ/mol of atoms below the next structure.

***

Entry A
First-principles (GGA-PBE) data for a relaxed structure of Ca2ScPt2, as listed in Alexandria.

a = 6.3310 Å, b = 6.3310 Å, c = 7.4791 Å
α = 79.38°, β = 79.38°, γ = 56.33°
Fractional coordinates of all 10 atoms:
Ca1 0.5238 0.7768 0.8553
Ca2 0.2232 0.4762 0.6447
Ca3 0.7768 0.5238 0.3553
Ca4 0.4762 0.2232 0.1447
Sc1 0.0822 0.9178 0.2500
Sc2 0.9178 0.0822 0.7500
Pt1 0.9933 0.2923 0.9925
Pt2 0.0067 0.7077 0.0075
Pt3 0.2923 0.9933 0.4925
Pt4 0.7077 0.0067 0.5075

Values from the calculation:
The density of states at the Fermi level comes out at 5.34 states/eV per cell. The symmetry is C2/c.

***

Entry B
First-principles (GGA-PBE) data for a relaxed structure of Ca2ScPt2, as listed in Alexandria.

a = 7.1812 Å, b = 7.1812 Å, c = 4.4711 Å
α = 90.00°, β = 90.00°, γ = 90.00°
Fractional coordinates of all 10 atoms:
Pt1 0.8642 0.6358 0.0000
Pt2 0.1358 0.3642 0.0000
Pt3 0.6358 0.1358 0.0000
Pt4 0.3642 0.8642 0.0000
Ca1 0.8315 0.3315 0.5000
Ca2 0.3315 0.1685 0.5000
Ca3 0.6685 0.8315 0.5000
Ca4 0.1685 0.6685 0.5000
Sc1 0.5000 0.5000 0.0000
Sc2 0.0000 0.0000 0.0000

Values from the calculation:
The density of states at the Fermi level comes out at 7.66 states/eV per cell. The symmetry is P4/mbm.

***

Entry C
First-principles (GGA-PBE) data for a relaxed structure of Ca2ScPt2, as listed in Alexandria.

a = 4.2684 Å, b = 4.2684 Å, c = 7.1442 Å
α = 72.62°, β = 72.62°, γ = 90.00°
Fractional coordinates of all 5 atoms:
Ca1 0.2500 0.7500 0.5000
Ca2 0.7500 0.2500 0.5000
Pt1 0.4004 0.4004 0.1992
Pt2 0.5996 0.5996 0.8008
Sc1 0.0000 0.0000 0.0000

Values from the calculation:
The density of states at the Fermi level comes out at 4.20 states/eV per cell. The symmetry is I4/mmm.

***

So which one is most stable? That would be entry A, about 3.7 kJ/mol of atoms below the next structure.